# 1
NbPt2SO: optimized geometry, PBE-GGA.

The calculation puts the density at 11.089 g/cm3. As for the uncorrected formation energy: 0.253 eV/atom. The total energy is -5.99 eV per atom.

The space group is P4/mmm (No. 123) and the conventional cell measures 4.4311, 4.4311 and 4.0506 Å, with angles of 90.00, 90.00 and 90.00 degrees. Symmetry generates all atoms from Nb at (0.0000, 0.0000, 0.0000), Pt at (0.0000, 0.5000, 0.5000), S at (0.5000, 0.5000, 0.0000) and O at (0.0000, 0.0000, 0.5000).


# 2
ScNbPt2O: optimized geometry, PBE-GGA.

The calculation puts the density at 11.022 g/cm3. As for the uncorrected formation energy: -0.531 eV/atom. The total energy is -7.22 eV per atom.

The space group is P4/mmm (No. 123) and the conventional cell measures 4.5083, 4.5083 and 4.0327 Å, with angles of 90.00, 90.00 and 90.00 degrees. Symmetry generates all atoms from Sc at (0.0000, 0.0000, 0.0000), Nb at (0.5000, 0.5000, 0.0000), Pt at (0.0000, 0.5000, 0.5000) and O at (0.5000, 0.5000, 0.5000).


# 3
NbSiPt2O: optimized geometry, PBE-GGA.

The calculation puts the density at 11.288 g/cm3. As for the uncorrected formation energy: -0.325 eV/atom. The total energy is -6.83 eV per atom.

The space group is P4/mmm (No. 123) and the conventional cell measures 4.8902, 4.8902 and 3.2428 Å, with angles of 90.00, 90.00 and 90.00 degrees. Symmetry generates all atoms from Nb at (0.0000, 0.0000, 0.0000), Si at (0.5000, 0.5000, 0.5000), Pt at (0.0000, 0.5000, 0.5000) and O at (0.5000, 0.5000, 0.0000).


# 4
NbTcPtO2: optimized geometry, PBE-GGA.

The calculation puts the density at 8.630 g/cm3. As for the uncorrected formation energy: -0.371 eV/atom. The total energy is -7.65 eV per atom.

The space group is P4/mmm (No. 123) and the conventional cell measures 3.7430, 3.7430 and 5.7405 Å, with angles of 90.00, 90.00 and 90.00 degrees. Symmetry generates all atoms from Nb at (0.0000, 0.0000, 0.0000), Tc at (0.0000, 0.0000, 0.5000), Pt at (0.5000, 0.5000, 0.0000) and O at (0.0000, 0.5000, 0.5000).


# 5
NbTePtO2: optimized geometry, PBE-GGA.

The calculation puts the density at 8.373 g/cm3. As for the uncorrected formation energy: -1.225 eV/atom. The total energy is -7.06 eV per atom.

The space group is P4/mmm (No. 123) and the conventional cell measures 3.8978, 3.8978 and 5.8426 Å, with angles of 90.00, 90.00 and 90.00 degrees. Symmetry generates all atoms from Nb at (0.0000, 0.0000, 0.0000), Te at (0.5000, 0.5000, 0.5000), Pt at (0.0000, 0.0000, 0.5000) and O at (0.0000, 0.5000, 0.0000).


# 6
NbTlPtO6: optimized geometry, PBE-GGA.

The calculation puts the density at 8.462 g/cm3. As for the uncorrected formation energy: -1.265 eV/atom. The total energy is -6.62 eV per atom.

The space group is P4_2nm (No. 102) and the conventional cell measures 4.8551, 4.8551 and 9.7964 Å, with angles of 90.00, 90.00 and 90.00 degrees. Symmetry generates all atoms from Nb at (0.0000, 0.0000, 0.0000), Tl at (0.0000, 0.0000, 0.3275), Pt at (0.0000, 0.0000, 0.6595), O at (0.1740, 0.1740, 0.8290), O at (0.2009, 0.2009, 0.5080) and O at (0.2079, 0.2079, 0.1409).


# 7
NbTl2Pt3O12: optimized geometry, PBE-GGA.

The calculation puts the density at 7.610 g/cm3. As for the uncorrected formation energy: -0.766 eV/atom. The total energy is -5.90 eV per atom.

The space group is R-3m (No. 166, hexagonal axes) and the conventional cell measures 7.2317, 7.2317 and 18.4838 Å, with angles of 90.00, 90.00 and 120.00 degrees. Symmetry generates all atoms from Nb at (0.0000, 0.0000, 0.0000), Tl at (0.0000, 0.0000, 0.3052), Pt at (0.0000, 0.5000, 0.5000), O at (0.0736, 0.5368, 0.8669) and O at (0.0747, 0.5373, 0.6039).